CoNi2As | the Alexandria database | PBE-GGA | relaxed; DOS at the Fermi energy = 1.152 states/eV per atom; E_form = 19 meV/atom; E = -5.811 eV/atom
1.0
2.441 -3.477 0.000
2.441 3.477 0.000
0.000 0.000 2.810
Co Ni As
1 2 1
Direct
0.000 0.000 0.000
0.000 0.500 0.500
0.500 0.000 0.500
0.500 0.500 0.000